Model 1:
# CaZrSe2Br | Alexandria | GGA-PBE | relaxed
data_CaZrSe2Br
_cell_length_a 5.275
_cell_length_b 5.275
_cell_length_c 5.222
_cell_angle_alpha 90.00
_cell_angle_beta 90.00
_cell_angle_gamma 90.00
_space_group_name_H-M_alt 'P 4/m m m'
_space_group_IT_number 123
_space_group_name_Hall '-P 4 2'
loop_
_atom_site_label
_atom_site_type_symbol
_atom_site_fract_x
_atom_site_fract_y
_atom_site_fract_z
Ca1 Ca 0.000 0.000 0.000
Zr1 Zr 0.500 0.500 0.500
Se1 Se 0.000 0.500 0.500
Br1 Br 0.500 0.500 0.000
# **N(E_F)**: 2.54 states/eV/cell
# **Size of the total moment**: 0.000 μB per atom

Model 2:
# CaZrSe2Br | Alexandria | GGA-PBE | relaxed
data_CaZrSe2Br
_cell_length_a 5.680
_cell_length_b 5.680
_cell_length_c 4.849
_cell_angle_alpha 90.00
_cell_angle_beta 90.00
_cell_angle_gamma 90.00
_space_group_name_H-M_alt 'P 4/m m m'
_space_group_IT_number 123
_space_group_name_Hall '-P 4 2'
loop_
_atom_site_label
_atom_site_type_symbol
_atom_site_fract_x
_atom_site_fract_y
_atom_site_fract_z
Ca1 Ca 0.000 0.000 0.000
Zr1 Zr 0.500 0.500 0.000
Se1 Se 0.000 0.500 0.500
Br1 Br 0.500 0.500 0.500
# **N(E_F)**: 3.46 states/eV/cell
# **Size of the total moment**: 0.334 μB per atom

Model 3:
# CaZrSe2Br | Alexandria | GGA-PBE | relaxed
data_CaZrSe2Br
_cell_length_a 5.401
_cell_length_b 5.401
_cell_length_c 5.173
_cell_angle_alpha 90.00
_cell_angle_beta 90.00
_cell_angle_gamma 90.00
_space_group_name_H-M_alt 'P 4/m m m'
_space_group_IT_number 123
_space_group_name_Hall '-P 4 2'
loop_
_atom_site_label
_atom_site_type_symbol
_atom_site_fract_x
_atom_site_fract_y
_atom_site_fract_z
Ca1 Ca 0.000 0.000 0.000
Zr1 Zr 0.500 0.500 0.500
Se1 Se 0.000 0.500 0.000
Br1 Br 0.000 0.000 0.500
# **N(E_F)**: 4.75 states/eV/cell
# **Size of the total moment**: 0.205 μB per atom

Structures ranked by computed energy, the most stable listed first: model 1, model 3, model 2.

Model 1:
# CaSiBr2 | Alexandria | GGA-PBE | relaxed
data_CaSiBr2
_cell_length_a 3.8714
_cell_length_b 3.8714
_cell_length_c 28.9861
_cell_angle_alpha 90.00
_cell_angle_beta 90.00
_cell_angle_gamma 120.00
_space_group_name_H-M_alt 'R 3 m'
_space_group_IT_number 160
_space_group_name_Hall 'R 3 -2"'
loop_
_atom_site_label
_atom_site_type_symbol
_atom_site_fract_x
_atom_site_fract_y
_atom_site_fract_z
Ca1 Ca 0.0000 0.0000 0.0000
Si1 Si 0.0000 0.0000 0.2529
Br1 Br 0.0000 0.0000 0.5280
Br2 Br 0.0000 0.0000 0.7282
# **N(E_F)**: 5.48 states/eV/cell
# **Size of the total moment**: 0.000 μB per atom

Model 2:
# CaSiBr2 | Alexandria | GGA-PBE | relaxed
data_CaSiBr2
_cell_length_a 3.8918
_cell_length_b 3.8918
_cell_length_c 28.7340
_cell_angle_alpha 90.00
_cell_angle_beta 90.00
_cell_angle_gamma 120.00
_space_group_name_H-M_alt 'R -3 m'
_space_group_IT_number 166
_space_group_name_Hall '-R 3 2"'
loop_
_atom_site_label
_atom_site_type_symbol
_atom_site_fract_x
_atom_site_fract_y
_atom_site_fract_z
Ca1 Ca 0.0000 0.0000 0.0000
Si1 Si 0.0000 0.0000 0.5000
Br1 Br 0.0000 0.0000 0.3957
# **N(E_F)**: 3.23 states/eV/cell
# **Size of the total moment**: 0.000 μB per atom

Structures ranked by computed energy, the most stable listed first: model 2, model 1.